(1)
First-principles (PBE-GGA) data for crystalline Co23Ni6W at its relaxed geometry, as listed in Alexandria via LeMat-Bulk.

Unit cell a=7.8539 b=7.8539 c=7.8539 alpha=60.00 beta=60.00 gamma=60.00
Fractional coordinates of all 30 atoms:
Co  0.6116  0.1295  0.1295
Co  0.3884  0.8705  0.8705
Co  0.1295  0.1295  0.6116
Co  0.1295  0.1295  0.1295
Co  0.8705  0.8705  0.3884
Co  0.8705  0.8705  0.8705
Co  0.1295  0.6116  0.1295
Co  0.8705  0.3884  0.8705
Co  0.5000  0.5000  0.0000
Co  0.0000  0.0000  0.5000
Co  0.5000  0.0000  0.0000
Co  0.0000  0.5000  0.5000
Co  0.5000  0.0000  0.5000
Co  0.0000  0.5000  0.0000
Co  0.9124  0.3625  0.3625
Co  0.0876  0.6375  0.6375
Co  0.3625  0.3625  0.9124
Co  0.3625  0.3625  0.3625
Co  0.6375  0.6375  0.0876
Co  0.6375  0.6375  0.6375
Co  0.3625  0.9124  0.3625
Co  0.6375  0.0876  0.6375
Co  0.0000  0.0000  0.0000
Ni  0.7440  0.7440  0.2560
Ni  0.2560  0.2560  0.7440
Ni  0.7440  0.2560  0.2560
Ni  0.2560  0.7440  0.7440
Ni  0.7440  0.2560  0.7440
Ni  0.2560  0.7440  0.2560
W  0.5000  0.5000  0.5000

Summary:
- Energy relative to the elements: 4.75 eV/f.u.
- Crystal system: cubic
- DOS(E_F): 33.14 states/eV/f.u.
- SG: Fm-3m, No. 225



(2)
First-principles (PBE-GGA) data for crystalline CoNi2W at its relaxed geometry, as listed in Alexandria via LeMat-Bulk.

Unit cell a=4.4287 b=4.4287 c=4.4287 alpha=131.67 beta=131.67 gamma=70.75
Fractional coordinates of all 4 atoms:
Ni  0.0000  0.0000  0.0000
Ni  0.2500  0.7500  0.5000
Co  0.7500  0.2500  0.5000
W  0.5000  0.5000  0.0000

Summary:
- Energy relative to the elements: -0.31 eV/f.u.
- Crystal system: tetragonal
- DOS(E_F): 3.30 states/eV/f.u.
- SG: I-4m2, No. 119



(3)
First-principles (PBE-GGA) data for crystalline CoNi2W at its relaxed geometry, as listed in Alexandria via LeMat-Bulk.

Unit cell a=4.4454 b=4.4454 c=4.4482 alpha=80.11 beta=80.11 gamma=34.27
Fractional coordinates of all 4 atoms:
Co  0.2551  0.2551  0.2459
Ni  0.9977  0.9977  0.9982
Ni  0.7468  0.7468  0.7593
W  0.5004  0.5004  0.4967

Summary:
- Energy relative to the elements: 0.24 eV/f.u.
- Crystal system: monoclinic
- DOS(E_F): 4.88 states/eV/f.u.
- SG: Cm, No. 8



(4)
First-principles (PBE-GGA) data for crystalline CoNi2W at its relaxed geometry, as listed in Alexandria via LeMat-Bulk.

Unit cell a=4.0848 b=4.0848 c=4.0848 alpha=60.00 beta=60.00 gamma=60.00
Fractional coordinates of all 4 atoms:
Co  0.5000  0.5000  0.5000
Ni  0.0000  0.0000  0.0000
Ni  0.2500  0.2500  0.2500
W  0.7500  0.7500  0.7500

Summary:
- Energy relative to the elements: 0.30 eV/f.u.
- Crystal system: cubic
- DOS(E_F): 3.92 states/eV/f.u.
- SG: F-43m, No. 216



(5)
First-principles (PBE-GGA) data for crystalline CoNi6W2 at its relaxed geometry, as listed in Alexandria via LeMat-Bulk.

Unit cell a=3.5692 b=5.7764 c=5.7824 alpha=108.16 beta=107.98 gamma=90.00
Fractional coordinates of all 9 atoms:
Co  0.5000  0.5000  0.0000
Ni  0.3915  0.8327  0.7831
Ni  0.6085  0.1673  0.2169
Ni  0.7228  0.8333  0.4455
Ni  0.1673  0.4992  0.3345
Ni  0.2772  0.1667  0.5545
Ni  0.8327  0.5008  0.6655
W  0.9405  0.1805  0.8810
W  0.0595  0.8195  0.1190

Summary:
- Energy relative to the elements: -0.35 eV/f.u.
- Crystal system: monoclinic
- DOS(E_F): 8.05 states/eV/f.u.
- SG: C2/m, No. 12



(6)
First-principles (PBE-GGA) data for crystalline CoNiW at its relaxed geometry, as listed in Alexandria via LeMat-Bulk.

Unit cell a=4.1047 b=4.1047 c=2.5811 alpha=90.00 beta=90.00 gamma=120.00
Fractional coordinates of all 3 atoms:
Co  0.0000  0.0000  0.9784
Ni  0.6667  0.3333  0.3258
W  0.3333  0.6667  0.6958

Summary:
- Energy relative to the elements: 0.32 eV/f.u.
- Crystal system: trigonal
- DOS(E_F): 3.51 states/eV/f.u.
- SG: P3m1, No. 156



(7)
First-principles (PBE-GGA) data for crystalline Y8Co2Ni at its relaxed geometry, as listed in Alexandria via LeMat-Bulk.

Unit cell a=6.6542 b=7.0616 c=7.9802 alpha=97.30 beta=90.00 gamma=118.11
Fractional coordinates of all 11 atoms:
Y  0.8991  0.2971  0.1344
Y  0.3980  0.2971  0.1344
Y  0.1009  0.7029  0.8656
Y  0.3370  0.6739  0.4724
Y  0.6020  0.7029  0.8656
Y  0.9163  0.8326  0.2956
Y  0.0837  0.1674  0.7044
Y  0.6630  0.3261  0.5276
Co  0.8687  0.7373  0.6085
Co  0.1313  0.2627  0.3915
Ni  0.0000  0.0000  0.0000

Summary:
- Energy relative to the elements: 1.32 eV/f.u.
- Crystal system: monoclinic
- DOS(E_F): 12.00 states/eV/f.u.
- SG: C2/m, No. 12



(8)
First-principles (PBE-GGA) data for crystalline YCoNi2 at its relaxed geometry, as listed in Alexandria via LeMat-Bulk.

Unit cell a=3.1611 b=3.1611 c=6.0254 alpha=90.00 beta=90.00 gamma=89.98
Fractional coordinates of all 4 atoms:
Co  0.5000  0.5000  0.8116
Ni  0.0000  0.0000  0.9912
Ni  0.5000  0.5000  0.2026
Y  0.0000  0.0000  0.4946

Summary:
- Energy relative to the elements: 0.20 eV/f.u.
- Crystal system: tetragonal
- DOS(E_F): 5.89 states/eV/f.u.
- SG: P4mm, No. 99



(9)
First-principles (PBE-GGA) data for crystalline YCo4Ni8 at its relaxed geometry, as listed in Alexandria via LeMat-Bulk.

Unit cell a=4.6644 b=6.2856 c=6.2856 alpha=82.09 beta=68.22 gamma=68.22
Fractional coordinates of all 13 atoms:
Y  0.0000  0.0000  0.0000
Co  0.0000  0.0000  0.5000
Co  0.5000  0.0000  0.5000
Co  0.0000  0.5000  0.0000
Co  0.5000  0.5000  0.0000
Ni  0.0000  0.3554  0.6446
Ni  0.0000  0.6446  0.3554
Ni  0.3554  0.6446  0.6446
Ni  0.6446  0.3554  0.3554
Ni  0.5000  0.7783  0.2217
Ni  0.5000  0.2217  0.7783
Ni  0.2783  0.2217  0.2217
Ni  0.7217  0.7783  0.7783

Summary:
- Energy relative to the elements: -1.02 eV/f.u.
- Crystal system: tetragonal
- DOS(E_F): 22.74 states/eV/f.u.
- SG: I4/mmm, No. 139



(10)
First-principles (PBE-GGA) data for crystalline YCoNi2 at its relaxed geometry, as listed in Alexandria via LeMat-Bulk.

Unit cell a=3.8913 b=3.8913 c=3.8340 alpha=90.00 beta=90.00 gamma=89.99
Fractional coordinates of all 4 atoms:
Co  0.0000  0.5000  0.5000
Ni  0.0000  0.0000  0.0000
Ni  0.5000  0.5000  0.0000
Y  0.5000  0.0000  0.5000

Summary:
- Energy relative to the elements: -0.21 eV/f.u.
- Crystal system: tetragonal
- DOS(E_F): 4.37 states/eV/f.u.
- SG: P4/mmm, No. 123



(11)
First-principles (PBE-GGA) data for crystalline Y4Co3Ni at its relaxed geometry, as listed in Alexandria via LeMat-Bulk.

Unit cell a=4.0186 b=3.8914 c=10.3844 alpha=90.00 beta=90.00 gamma=90.00
Fractional coordinates of all 8 atoms:
Y  0.5000  0.5000  0.3578
Y  0.0000  0.5000  0.8560
Y  0.0000  0.0000  0.1423
Y  0.5000  0.0000  0.6446
Ni  0.5000  0.5000  0.0657
Co  0.0000  0.5000  0.5549
Co  0.0000  0.0000  0.4431
Co  0.5000  0.0000  0.9356

Summary:
- Energy relative to the elements: -1.96 eV/f.u.
- Crystal system: orthorhombic
- DOS(E_F): 7.01 states/eV/f.u.
- SG: Pmm2, No. 25



(12)
First-principles (PBE-GGA) data for crystalline YCoNi2 at its relaxed geometry, as listed in Alexandria via LeMat-Bulk.

Unit cell a=4.7647 b=4.7647 c=4.7647 alpha=131.91 beta=131.91 gamma=70.37
Fractional coordinates of all 4 atoms:
Co  0.7500  0.2500  0.5000
Ni  0.0000  0.0000  0.0000
Ni  0.2500  0.7500  0.5000
Y  0.5000  0.5000  0.0000

Summary:
- Energy relative to the elements: 0.09 eV/f.u.
- Crystal system: tetragonal
- DOS(E_F): 6.38 states/eV/f.u.
- SG: I-4m2, No. 119



(13)
First-principles (PBE-GGA) data for crystalline YCoNi2 at its relaxed geometry, as listed in Alexandria via LeMat-Bulk.

Unit cell a=3.2642 b=3.1910 c=6.6198 alpha=61.09 beta=90.00 gamma=90.00
Fractional coordinates of all 4 atoms:
Co  0.5000  0.7500  0.7500
Ni  0.0000  0.0491  0.9504
Ni  0.0000  0.4509  0.5496
Y  0.5000  0.2500  0.2500

Summary:
- Energy relative to the elements: 0.12 eV/f.u.
- Crystal system: monoclinic
- DOS(E_F): 6.57 states/eV/f.u.
- SG: P2/m, No. 10